Crystalline Co3TeH at its relaxed geometry. Source: Alexandria, functional PBE.

Unit cell a=3.7540 b=3.7540 c=3.7540 alpha=90.00 beta=90.00 gamma=90.00
Site moments in Bohr magnetons follow the coordinates.
Element x y z (fractional)
H: 0.0000 0.0000 0.0000  -0.01
Te: 0.5000 0.5000 0.5000  0.00
Co: 0.0000 0.5000 0.0000  0.82
Co: 0.0000 0.0000 0.5000  0.60
Co: 0.5000 0.0000 0.0000  0.76

Results
D(E_F)   0.843 states/eV per atom
Calculated total energy   -27.2 eV for the cell shown